(1)
Ac3Nd3Y2: relaxed, GGA-PBE.

Cell and atoms, written as extended XYZ:
```
8
Lattice="6.182 0.000 0.000 0.000 6.175 0.000 0.000 0.000 7.937" Properties=species:S:1:pos:R:3 pbc="T T T"
Ac 0.000 3.087 3.969
Ac 3.091 0.000 0.000
Ac 3.091 0.000 3.969
Nd 3.091 3.087 1.913
Nd 3.091 3.087 6.025
Nd 0.000 3.087 0.000
Y 0.000 0.000 1.925
Y 0.000 0.000 6.012
```

Calculated values
- DOS at the Fermi energy (states/eV per cell) = 15.86
- space-group type = Pmmm (47)

(2)
Ac5Nd4Y4: relaxed, GGA-PBE.

Cell and atoms, written as extended XYZ:
```
13
Lattice="5.145 0.000 1.308 2.572 9.641 0.654 0.197 0.000 9.998" Properties=species:S:1:pos:R:3 pbc="T T T"
Ac 5.905 8.118 9.089
Ac 2.009 1.523 2.871
Ac 0.000 0.000 0.000
Ac 4.769 7.353 2.784
Ac 3.144 2.288 9.175
Nd 6.083 4.448 8.388
Nd 4.048 3.011 5.619
Nd 1.830 5.193 3.572
Nd 3.865 6.630 6.341
Y 4.957 3.774 2.045
Y 2.956 5.867 9.915
Y 6.787 8.881 5.620
Y 1.127 0.760 6.340
```

Calculated values
- DOS at the Fermi energy (states/eV per cell) = 21.47
- space-group type = I4/m (87)

In order of appearance, V = 37.9, 38.0 Å³/atom.
In order of appearance, energy of formation from the pure elements = 0.10, 0.05 eV/atom.
In order of appearance, energy = -4.8417, -4.9911 eV/atom.